1.
# ReNi5, optimized geometry, DFT PBE
data_ReNi5
_chemical_formula_sum 'Re4 Ni20'
_cell_length_a 6.513
_cell_length_b 6.513
_cell_length_c 6.513
_cell_angle_alpha 90.00
_cell_angle_beta 90.00
_cell_angle_gamma 90.00
_space_group_name_H-M_alt 'F -4 3 m'
_space_group_IT_number 216
_space_group_name_Hall 'F -4 2 3'
loop_
_atom_site_label
_atom_site_type_symbol
_atom_site_fract_x
_atom_site_fract_y
_atom_site_fract_z
Re1 Re 0.000 0.000 0.000
Ni1 Ni 0.125 0.125 0.625
Ni2 Ni 0.250 0.250 0.250
# DFT formation energy   0.139 eV/atom
# Final energy   -6.75 eV/atom

2.
# PrNdHo2Er5, optimized geometry, DFT PBE
data_PrNdHo2Er5
_chemical_formula_sum 'Pr4 Nd4 Ho8 Er20'
_cell_length_a 8.876
_cell_length_b 8.876
_cell_length_c 14.789
_cell_angle_alpha 90.00
_cell_angle_beta 90.00
_cell_angle_gamma 90.00
_space_group_name_H-M_alt 'I 4/m c m'
_space_group_IT_number 140
_space_group_name_Hall '-I 4 2c'
loop_
_atom_site_label
_atom_site_type_symbol
_atom_site_fract_x
_atom_site_fract_y
_atom_site_fract_z
Pr1 Pr 0.000 0.000 0.250
Nd1 Nd 0.000 0.500 0.250
Ho1 Ho 0.114 0.386 0.000
Er1 Er 0.000 0.000 0.000
Er2 Er 0.203 0.297 0.369
# DFT formation energy   0.279 eV/atom
# Final energy   -4.33 eV/atom